Record 1
A geometry-optimized Cs2YOF3 structure, computed with PBE-GGA.

Lattice parameters (Å, degrees): 4.4241 4.5951 8.2801 106.11 105.49 90.00
Sites, in units of the cell vectors:
Cs 0.6485 0.6485 0.2971
Cs 0.3515 0.3515 0.7029
Y 0.0000 0.0000 0.0000
O 0.5000 0.0000 0.0000
F 0.0000 0.5000 0.0000
F 0.1484 0.1484 0.2967
F 0.8516 0.8516 0.7033

Computed properties:
- Formation energy (no corrections): -3.11 eV/atom
- Electronic total energy: -0.213 hartree per atom
- Space group: Immm, No. 71
- V: 22.19 Å³ per atom

Record 2
A geometry-optimized Sc2CdN structure, computed with PBE-GGA.

Lattice parameters (Å, degrees): 6.4115 6.4115 5.9832 57.60 57.60 90.00
Sites, in units of the cell vectors:
Sc 0.5120 0.1250 0.2500
Sc 0.2380 0.6250 0.2500
Sc 0.3750 0.4880 0.7500
Sc 0.8750 0.7620 0.7500
N 0.5000 0.5000 0.0000
N 0.2500 0.7500 0.5000
Cd 0.0000 0.0000 0.0000
Cd 0.7500 0.2500 0.5000

Computed properties:
- Formation energy (no corrections): -0.76 eV/atom
- Electronic total energy: -0.229 hartree per atom
- Space group: I-42d, No. 122
- Energy relative to the lowest polymorph listed for this composition: 325.6 meV per atom
- V: 20.06 Å³ per atom

Question: Which of these has the highest electronic total energy?
Answer: Cs2YOF3

Question: The highest V belongs to which entry?
Answer: Cs2YOF3

Question: What is the formation energy (no corrections) in the second record?
Answer: -0.76 eV/atom